In3AgN PBE relaxed; symmetry = Pm-3m (221); total magnetic moment = 0.000 μB/f.u.; formation energy from raw total energies = 0.511 eV per atom
1.0
-3.106 2.982 -2.020
-3.517 -3.086 0.852
-0.777 2.050 4.221
Ag N In
1 1 3
Direct
0.500 0.500 0.500 Ag
0.000 0.000 0.000 N
0.000 0.000 0.500 In
0.000 0.500 0.000 In
0.500 0.000 0.000 In